A relaxed Cs2TlRu crystal. Source: Alexandria via LeMat-Bulk, functional PBEsol.

Summary:
- DOS at the Fermi energy: 2.338 states/eV/atom
- DFT formation energy: 1.236 eV/atom
- Space-group type: No. 225

Cell lengths 5.8112, 5.8112, 5.8112 Å; angles 60.00, 60.00, 60.00 degrees
Closest atoms and distances in Å follow each position.
Element x y z (fractional)
1 Cs 0.7500 0.7500 0.7500  4 Tl 3.56, 4 Ru 3.56
2 Cs 0.2500 0.2500 0.2500  4 Tl 3.56, 4 Ru 3.56
3 Ru 0.0000 0.0000 0.0000  8 Cs 3.56
4 Tl 0.5000 0.5000 0.5000  8 Cs 3.56